Material: CsCd
Method: DFT, GGA-PBE
State: optimized geometry

Lattice parameters (Å, degrees): 11.074 11.074 11.074 90.00 90.00 90.00
Positions (direct):
Cs  0.000  0.250  0.500
Cs  0.000  0.750  0.500
Cs  0.250  0.500  0.000
Cs  0.500  0.000  0.250
Cs  0.500  0.000  0.750
Cs  0.750  0.500  0.000
Cd  0.000  0.500  0.250
Cd  0.000  0.500  0.750
Cd  0.250  0.000  0.500
Cd  0.500  0.250  0.000
Cd  0.500  0.750  0.000
Cd  0.750  0.000  0.500

Total moment, μB/f.u.: 0.01
Energy of formation from the pure elements, eV per atom: 0.315
Fermi-level density of states, states/eV per atom: 2.33
Total energy, Ha/atom: -0.0209